# Ac6Ge2RuI3

A geometry-optimized Ac6Ge2RuI3 structure (PBE-GGA, Alexandria via LeMat-Bulk).

Properties
D(E_F)	11.7	states/eV/f.u.
total magnetic moment	0.0	μB/f.u.
raw formation energy	-0.8889	eV per atom
energy	-58.48	eV per cell

```
data_Ac6Ge2RuI3
_cell_length_a 7.9507
_cell_length_b 7.9507
_cell_length_c 8.6304
_cell_angle_alpha 98.91
_cell_angle_beta 98.91
_cell_angle_gamma 119.67
_symmetry_space_group_name_H-M 'P 1'
_symmetry_Int_Tables_number 1
_symmetry_space_group_name_Hall 'P 1'
loop_
_atom_site_label
_atom_site_fract_x
_atom_site_fract_y
_atom_site_fract_z
Ge1 0.3343 0.6657 0.0000
Ge2 0.6657 0.3343 0.0000
Ru1 0.0000 0.0000 0.0000
I1 0.1740 0.8260 0.5000
I2 0.5000 0.5000 0.5000
I3 0.8260 0.1740 0.5000
Ac1 0.2488 0.2488 0.8037
Ac2 0.0639 0.3771 0.1915
Ac3 0.6229 0.9361 0.8085
Ac4 0.7512 0.7512 0.1963
Ac5 0.9361 0.6229 0.8085
Ac6 0.3771 0.0639 0.1915
```